The following is a DFT calculation (PBE-GGA) of an optimized crystal structure of TcSbTe2I.

Results
- Total moment: 4.35 μB per cell
- E above lowest polymorph: 1305.7 meV/atom
- Energy relative to the elements, uncorrected: 161 kJ/mol of atoms
- DOS(E_F): 1.15 states/eV/atom

a = 5.7267 Å, b = 5.7267 Å, c = 5.8450 Å
α = 90.00°, β = 90.00°, γ = 90.00°
Last column: nearest neighbours and their distance in Å.
Element x y z (fractional)
I: 0.0000 0.0000 0.0000  4 Te 2.86, 2 Sb 2.92
Sb: 0.0000 0.0000 0.5000  2 I 2.92
Te: 0.0000 0.5000 0.0000  2 I 2.86
Te: 0.5000 0.0000 0.0000  2 I 2.86
Tc: 0.5000 0.5000 0.5000  4 Sb 4.05, 8 Te 4.09